# NaCuSe2Br PBE optimized geometry
# Energy relative to the lowest polymorph listed for this composition = 50.9 kJ per mole of atoms
# DOS(E_F) = 2.497 states/eV/cell
# Total moment = 0.05 μB/atom
# Uncorrected formation energy = 309 meV/atom
data_NaCuSe2Br
_symmetry_space_group_name_H-M 'P 1'
_symmetry_Int_Tables_number 1
_symmetry_space_group_name_Hall 'P 1'
_cell_length_a 5.563
_cell_length_b 5.563
_cell_length_c 4.535
_cell_angle_alpha 90.00
_cell_angle_beta 90.00
_cell_angle_gamma 90.00
loop_
_atom_site_label
_atom_site_type_symbol
_atom_site_fract_x
_atom_site_fract_y
_atom_site_fract_z
Na1 Na 0.000 0.000 0.000
Cu1 Cu 0.500 0.500 0.000
Se1 Se 0.000 0.500 0.500
Se2 Se 0.500 0.000 0.500
Br1 Br 0.500 0.500 0.500